Record 1
A relaxed RbEuPO4 crystal. Source: Alexandria, functional GGA-PBE.

Summary:
mass density = 4.94 Mg/m³
uncorrected formation energy = -18.03 eV per formula unit
total moment = 7.000 μB/f.u.

Lattice parameters (Å, degrees): 7.7348 5.5148 10.4799 90.00 90.00 90.00
With the nearest neighbours (Å) after each atom.
Element x y z (fractional)
Rb: 0.1421 0.2500 0.0662  6 O 2.78-3.00
Rb: 0.3579 0.7500 0.5662  6 O 2.78-3.00
Rb: 0.6421 0.2500 0.4338  6 O 2.78-3.00
Rb: 0.8579 0.7500 0.9338  6 O 2.78-3.00
Eu: 0.0393 0.2500 0.6716  6 O 2.51-2.69
Eu: 0.4607 0.7500 0.1716  6 O 2.51-2.69
Eu: 0.5393 0.2500 0.8284  6 O 2.51-2.69
Eu: 0.9607 0.7500 0.3284  6 O 2.51-2.69
P: 0.1989 0.2500 0.3895  4 O 1.56
P: 0.3011 0.7500 0.8895  4 O 1.56
P: 0.6989 0.2500 0.1105  4 O 1.56
P: 0.8011 0.7500 0.6105  4 O 1.56
O: 0.0003 0.2500 0.4168  1 P 1.56
O: 0.9997 0.7500 0.5832  1 P 1.56
O: 0.2073 0.7500 0.0215  1 P 1.56
O: 0.2463 0.0162 0.3131  1 P 1.56
O: 0.2463 0.4838 0.3131  1 P 1.56
O: 0.2537 0.5162 0.8131  1 P 1.56
O: 0.2537 0.9838 0.8131  1 P 1.56
O: 0.2927 0.2500 0.5215  1 P 1.56
O: 0.5003 0.2500 0.0832  1 P 1.56
O: 0.4997 0.7500 0.9168  1 P 1.56
O: 0.7073 0.7500 0.4785  1 P 1.56
O: 0.7463 0.0162 0.1869  1 P 1.56
O: 0.7463 0.4838 0.1869  1 P 1.56
O: 0.7537 0.5162 0.6869  1 P 1.56
O: 0.7537 0.9838 0.6869  1 P 1.56
O: 0.7927 0.2500 0.9785  1 P 1.56

Record 2
A relaxed EuZr6P9O36 crystal. Source: Alexandria, functional GGA-PBE.

Summary:
mass density = 3.20 Mg/m³
uncorrected formation energy = -141.81 eV per formula unit
total moment = 5.976 μB/f.u.

Lattice parameters (Å, degrees): 8.9626 8.9626 23.1821 90.00 90.00 120.00
With the nearest neighbours (Å) after each atom.
Element x y z (fractional)
Eu: 0.0000 0.0000 0.0000  6 O 2.48
Eu: 0.0000 0.0000 0.5000  6 O 2.48
Zr: 0.0000 0.0000 0.1495  6 O 2.03-2.22
Zr: 0.0000 0.0000 0.3505  6 O 2.03-2.22
Zr: 0.0000 0.0000 0.6495  6 O 2.03-2.22
Zr: 0.0000 0.0000 0.8505  6 O 2.03-2.22
Zr: 0.3333 0.6667 0.0284  6 O 2.07-2.13
Zr: 0.3333 0.6667 0.3118  6 O 2.07-2.11
Zr: 0.3333 0.6667 0.5284  6 O 2.07-2.13
Zr: 0.3333 0.6667 0.8118  6 O 2.07-2.11
Zr: 0.6667 0.3333 0.1882  6 O 2.07-2.11
Zr: 0.6667 0.3333 0.4716  6 O 2.07-2.13
Zr: 0.6667 0.3333 0.6882  6 O 2.07-2.11
Zr: 0.6667 0.3333 0.9716  6 O 2.07-2.13
P: 0.0000 0.2900 0.2500  4 O 1.53-1.56
P: 0.0000 0.7100 0.7500  4 O 1.53-1.56
P: 0.0542 0.3761 0.9202  4 O 1.53-1.58
P: 0.0542 0.6780 0.4202  4 O 1.53-1.58
P: 0.2900 0.0000 0.2500  4 O 1.53-1.56
P: 0.2900 0.2900 0.7500  4 O 1.53-1.56
P: 0.3220 0.3761 0.4202  4 O 1.53-1.58
P: 0.3220 0.9458 0.9202  4 O 1.53-1.58
P: 0.3761 0.0542 0.5798  4 O 1.53-1.58
P: 0.3761 0.3220 0.0798  4 O 1.53-1.58
P: 0.6239 0.6780 0.9202  4 O 1.53-1.58
P: 0.6239 0.9458 0.4202  4 O 1.53-1.58
P: 0.6780 0.0542 0.0798  4 O 1.53-1.58
P: 0.6780 0.6239 0.5798  4 O 1.53-1.58
P: 0.7100 0.0000 0.7500  4 O 1.53-1.56
P: 0.7100 0.7100 0.2500  4 O 1.53-1.56
P: 0.9458 0.3220 0.5798  4 O 1.53-1.58
P: 0.9458 0.6239 0.0798  4 O 1.53-1.58
O: 0.0234 0.1867 0.9177  1 P 1.58
O: 0.0234 0.8367 0.4177  1 P 1.58
O: 0.0325 0.2047 0.1966  1 P 1.56
O: 0.0325 0.8279 0.6966  1 P 1.56
O: 0.1225 0.4876 0.5755  1 P 1.54
O: 0.1225 0.6350 0.0755  1 P 1.54
O: 0.1467 0.4733 0.8655  1 P 1.53
O: 0.1467 0.6734 0.3655  1 P 1.53
O: 0.1585 0.4662 0.2604  1 P 1.53
O: 0.1585 0.6923 0.7604  1 P 1.53
O: 0.1633 0.1867 0.4177  1 P 1.58
O: 0.1626 0.4582 0.9748  1 P 1.54
O: 0.1626 0.7044 0.4748  1 P 1.54
O: 0.1633 0.9766 0.9177  1 P 1.58
O: 0.1721 0.2047 0.6966  1 P 1.56
O: 0.1721 0.9675 0.1966  1 P 1.56
O: 0.1867 0.0234 0.5823  1 P 1.58
O: 0.1867 0.1633 0.0823  1 P 1.58
O: 0.2047 0.0325 0.3034  1 P 1.56
O: 0.2047 0.1721 0.8034  1 P 1.56
O: 0.2956 0.4582 0.4748  1 P 1.54
O: 0.2956 0.8374 0.9748  1 P 1.54
O: 0.3077 0.4662 0.7604  1 P 1.53
O: 0.3077 0.8415 0.2604  1 P 1.53
O: 0.3266 0.4733 0.3655  1 P 1.53
O: 0.3266 0.8533 0.8655  1 P 1.53
O: 0.3650 0.4876 0.0755  1 P 1.54
O: 0.3650 0.8775 0.5755  1 P 1.54
O: 0.4582 0.1626 0.5252  1 P 1.54
O: 0.4582 0.2956 0.0252  1 P 1.54
O: 0.4662 0.1585 0.2396  1 P 1.53
O: 0.4662 0.3077 0.7396  1 P 1.53
O: 0.4733 0.1467 0.6345  1 P 1.53
O: 0.4733 0.3266 0.1345  1 P 1.53
O: 0.4876 0.1225 0.9245  1 P 1.54
O: 0.4876 0.3650 0.4245  1 P 1.54
O: 0.5124 0.6350 0.5755  1 P 1.54
O: 0.5124 0.8775 0.0755  1 P 1.54
O: 0.5267 0.6734 0.8655  1 P 1.53
O: 0.5267 0.8533 0.3655  1 P 1.53
O: 0.5338 0.6923 0.2604  1 P 1.53
O: 0.5338 0.8415 0.7604  1 P 1.53
O: 0.5418 0.7044 0.9748  1 P 1.54
O: 0.5418 0.8374 0.4748  1 P 1.54
O: 0.6350 0.1225 0.4245  1 P 1.54
O: 0.6350 0.5124 0.9245  1 P 1.54
O: 0.6734 0.1467 0.1345  1 P 1.53
O: 0.6734 0.5267 0.6345  1 P 1.53
O: 0.6923 0.1585 0.7396  1 P 1.53
O: 0.6923 0.5338 0.2396  1 P 1.53
O: 0.7044 0.1626 0.0252  1 P 1.54
O: 0.7044 0.5418 0.5252  1 P 1.54
O: 0.7953 0.8279 0.1966  1 P 1.56
O: 0.7953 0.9675 0.6966  1 P 1.56
O: 0.8133 0.8367 0.9177  1 P 1.58
O: 0.8133 0.9766 0.4177  1 P 1.58
O: 0.8279 0.0325 0.8034  1 P 1.56
O: 0.8279 0.7953 0.3034  1 P 1.56
O: 0.8367 0.0234 0.0823  1 P 1.58
O: 0.8374 0.2956 0.5252  1 P 1.54
O: 0.8374 0.5418 0.0252  1 P 1.54
O: 0.8367 0.8133 0.5823  1 P 1.58
O: 0.8415 0.3077 0.2396  1 P 1.53
O: 0.8415 0.5338 0.7396  1 P 1.53
O: 0.8533 0.3266 0.6345  1 P 1.53
O: 0.8533 0.5267 0.1345  1 P 1.53
O: 0.8775 0.3650 0.9245  1 P 1.54
O: 0.8775 0.5124 0.4245  1 P 1.54
O: 0.9675 0.1721 0.3034  1 P 1.56
O: 0.9675 0.7953 0.8034  1 P 1.56
O: 0.9766 0.1633 0.5823  1 P 1.58
O: 0.9766 0.8133 0.0823  1 P 1.58

Record 3
A relaxed EuPaO2 crystal. Source: Alexandria, functional GGA-PBE.

Summary:
mass density = 11.58 Mg/m³
uncorrected formation energy = -7.67 eV per formula unit
total moment = 8.493 μB/f.u.

Lattice parameters (Å, degrees): 3.0929 3.0929 6.2188 90.00 90.00 90.00
With the nearest neighbours (Å) after each atom.
Element x y z (fractional)
Eu: 0.0000 0.0000 0.0000  8 O 2.77, 4 Eu 3.09
Pa: 0.0000 0.0000 0.5000  8 O 2.60
O: 0.5000 0.5000 0.2743  4 Pa 2.60, 4 Eu 2.77, 1 O 2.81
O: 0.5000 0.5000 0.7257  4 Pa 2.60, 4 Eu 2.77, 1 O 2.81

Record 4
A relaxed EuPaO4 crystal. Source: Alexandria, functional GGA-PBE.

Summary:
mass density = 9.15 Mg/m³
uncorrected formation energy = -20.19 eV per formula unit
total moment = 6.000 μB/f.u.

Lattice parameters (Å, degrees): 3.8336 3.8336 5.5200 90.00 90.00 90.00
With the nearest neighbours (Å) after each atom.
Element x y z (fractional)
Eu: 0.0000 0.0000 0.0000  8 O 2.42
Pa: 0.5000 0.5000 0.5000  8 O 2.31
O: 0.0000 0.5000 0.2671  2 Pa 2.31, 2 Eu 2.42, 1 O 2.57
O: 0.0000 0.5000 0.7329  2 Pa 2.31, 2 Eu 2.42, 1 O 2.57
O: 0.5000 0.0000 0.2671  2 Pa 2.31, 2 Eu 2.42, 1 O 2.57
O: 0.5000 0.0000 0.7329  2 Pa 2.31, 2 Eu 2.42, 1 O 2.57

Record 5
A relaxed EuPaO4 crystal. Source: Alexandria, functional GGA-PBE.

Summary:
mass density = 9.14 Mg/m³
uncorrected formation energy = -20.20 eV per formula unit
total moment = 6.000 μB/f.u.

Lattice parameters (Å, degrees): 6.6581 6.6581 6.6581 131.45 131.45 71.09
With the nearest neighbours (Å) after each atom.
Element x y z (fractional)
Eu: 0.3750 0.6250 0.7500  8 O 2.42
Eu: 0.6250 0.3750 0.2500  8 O 2.42
Pa: 0.1250 0.8750 0.2500  8 O 2.31
Pa: 0.8750 0.1250 0.7500  8 O 2.31
O: 0.0000 0.2324 0.2324  2 Pa 2.31, 2 Eu 2.42, 1 O 2.54
O: 0.0000 0.7676 0.7676  2 Pa 2.31, 2 Eu 2.42, 1 O 2.54
O: 0.2324 0.0000 0.7324  2 Pa 2.31, 2 Eu 2.42, 1 O 2.54
O: 0.2324 0.5000 0.2324  2 Pa 2.31, 2 Eu 2.42, 1 O 2.54
O: 0.5000 0.2324 0.7324  2 Pa 2.31, 2 Eu 2.42, 1 O 2.54
O: 0.5000 0.7676 0.2676  2 Pa 2.31, 2 Eu 2.42, 1 O 2.54
O: 0.7676 0.0000 0.2676  2 Pa 2.31, 2 Eu 2.42, 1 O 2.54
O: 0.7676 0.5000 0.7676  2 Pa 2.31, 2 Eu 2.42, 1 O 2.54

Record 6
A relaxed EuPbO2 crystal. Source: Alexandria, functional GGA-PBE.

Summary:
mass density = 10.19 Mg/m³
uncorrected formation energy = -5.99 eV per formula unit
total moment = 6.904 μB/f.u.

Lattice parameters (Å, degrees): 3.1459 3.1459 6.4424 90.00 90.00 90.00
With the nearest neighbours (Å) after each atom.
Element x y z (fractional)
Eu: 0.0000 0.0000 0.0000  8 O 2.63
Pb: 0.0000 0.0000 0.5000  8 O 2.87, 4 Pb 3.15
O: 0.5000 0.5000 0.2190  4 Eu 2.63, 1 O 2.82, 4 Pb 2.87
O: 0.5000 0.5000 0.7810  4 Eu 2.63, 1 O 2.82, 4 Pb 2.87

Record 7
A relaxed Eu2PbO crystal. Source: Alexandria, functional GGA-PBE.

Summary:
mass density = 8.92 Mg/m³
uncorrected formation energy = -6.24 eV per formula unit
total moment = 14.110 μB/f.u.

Lattice parameters (Å, degrees): 8.4103 8.4103 8.4103 25.64 25.64 25.64
With the nearest neighbours (Å) after each atom.
Element x y z (fractional)
Eu: 0.2238 0.2238 0.2238  3 O 2.57
Eu: 0.7762 0.7762 0.7762  3 O 2.57
Pb: 0.0000 0.0000 0.0000  6 Eu 3.43, 6 Pb 3.73
O: 0.5000 0.5000 0.5000  6 Eu 2.57

Record 8
A relaxed Eu3Pb5O12 crystal. Source: Alexandria, functional GGA-PBE.

Summary:
mass density = 8.32 Mg/m³
uncorrected formation energy = -31.18 eV per formula unit
total moment = 19.449 μB/f.u.

Lattice parameters (Å, degrees): 12.0401 12.0401 12.0401 109.47 109.47 109.47
With the nearest neighbours (Å) after each atom.
Element x y z (fractional)
Eu: 0.1250 0.2500 0.3750  8 O 2.59-2.67
Eu: 0.1250 0.3750 0.7500  8 O 2.59-2.67
Eu: 0.2500 0.3750 0.1250  8 O 2.59-2.67
Eu: 0.2500 0.8750 0.6250  8 O 2.59-2.67
Eu: 0.3750 0.1250 0.2500  8 O 2.59-2.67
Eu: 0.3750 0.7500 0.1250  8 O 2.59-2.67
Eu: 0.6250 0.2500 0.8750  8 O 2.59-2.67
Eu: 0.6250 0.8750 0.7500  8 O 2.59-2.67
Eu: 0.7500 0.1250 0.3750  8 O 2.59-2.67
Eu: 0.7500 0.6250 0.8750  8 O 2.59-2.67
Eu: 0.8750 0.6250 0.2500  8 O 2.59-2.67
Eu: 0.8750 0.7500 0.6250  8 O 2.59-2.67
Pb: 0.0000 0.0000 0.0000  6 O 2.26
Pb: 0.0000 0.0000 0.5000  6 O 2.26
Pb: 0.0000 0.5000 0.0000  6 O 2.26
Pb: 0.0000 0.5000 0.5000  6 O 2.26
Pb: 0.1250 0.7500 0.8750  4 O 2.20
Pb: 0.1250 0.8750 0.2500  4 O 2.20
Pb: 0.2500 0.1250 0.8750  4 O 2.20
Pb: 0.2500 0.6250 0.3750  4 O 2.20
Pb: 0.3750 0.2500 0.6250  4 O 2.20
Pb: 0.3750 0.6250 0.7500  4 O 2.20
Pb: 0.5000 0.0000 0.0000  6 O 2.26
Pb: 0.5000 0.0000 0.5000  6 O 2.26
Pb: 0.5000 0.5000 0.0000  6 O 2.26
Pb: 0.5000 0.5000 0.5000  6 O 2.26
Pb: 0.6250 0.3750 0.2500  4 O 2.20
Pb: 0.6250 0.7500 0.3750  4 O 2.20
Pb: 0.7500 0.3750 0.6250  4 O 2.20
Pb: 0.7500 0.8750 0.1250  4 O 2.20
Pb: 0.8750 0.1250 0.7500  4 O 2.20
Pb: 0.8750 0.2500 0.1250  4 O 2.20
O: 0.0411 0.2100 0.1296  2 Pb 2.20-2.26
O: 0.0411 0.3311 0.9115  2 Pb 2.20-2.26
O: 0.0804 0.7100 0.6689  2 Pb 2.20-2.26
O: 0.0804 0.8704 0.4115  2 Pb 2.20-2.26
O: 0.0885 0.6296 0.4196  2 Pb 2.20-2.26
O: 0.0885 0.9589 0.6689  2 Pb 2.20-2.26
O: 0.1296 0.0411 0.2100  2 Pb 2.20-2.26
O: 0.1296 0.5885 0.9196  2 Pb 2.20-2.26
O: 0.1689 0.2100 0.5804  2 Pb 2.20-2.26
O: 0.1689 0.4589 0.5885  2 Pb 2.20-2.26
O: 0.2100 0.1296 0.0411  2 Pb 2.20-2.26
O: 0.2100 0.5804 0.1689  2 Pb 2.20-2.26
O: 0.2900 0.3311 0.9196  2 Pb 2.20-2.26
O: 0.2900 0.4589 0.3704  2 Pb 2.20-2.26
O: 0.3311 0.9115 0.0411  2 Pb 2.20-2.26
O: 0.3311 0.9196 0.2900  2 Pb 2.20-2.26
O: 0.3704 0.2900 0.4589  2 Pb 2.20-2.26
O: 0.3704 0.5804 0.9115  2 Pb 2.20-2.26
O: 0.4115 0.0804 0.8704  2 Pb 2.20-2.26
O: 0.4115 0.8311 0.5411  2 Pb 2.20-2.26
O: 0.4196 0.0885 0.6296  2 Pb 2.20-2.26
O: 0.4196 0.8311 0.7900  2 Pb 2.20-2.26
O: 0.4589 0.3704 0.2900  2 Pb 2.20-2.26
O: 0.4589 0.5885 0.1689  2 Pb 2.20-2.26
O: 0.5411 0.4115 0.8311  2 Pb 2.20-2.26
O: 0.5411 0.6296 0.7100  2 Pb 2.20-2.26
O: 0.5804 0.1689 0.2100  2 Pb 2.20-2.26
O: 0.5804 0.9115 0.3704  2 Pb 2.20-2.26
O: 0.5885 0.1689 0.4589  2 Pb 2.20-2.26
O: 0.5885 0.9196 0.1296  2 Pb 2.20-2.26
O: 0.6296 0.4196 0.0885  2 Pb 2.20-2.26
O: 0.6296 0.7100 0.5411  2 Pb 2.20-2.26
O: 0.6689 0.0804 0.7100  2 Pb 2.20-2.26
O: 0.6689 0.0885 0.9589  2 Pb 2.20-2.26
O: 0.7100 0.5411 0.6296  2 Pb 2.20-2.26
O: 0.7100 0.6689 0.0804  2 Pb 2.20-2.26
O: 0.7900 0.4196 0.8311  2 Pb 2.20-2.26
O: 0.7900 0.8704 0.9589  2 Pb 2.20-2.26
O: 0.8311 0.5411 0.4115  2 Pb 2.20-2.26
O: 0.8311 0.7900 0.4196  2 Pb 2.20-2.26
O: 0.8704 0.4115 0.0804  2 Pb 2.20-2.26
O: 0.8704 0.9589 0.7900  2 Pb 2.20-2.26
O: 0.9115 0.0411 0.3311  2 Pb 2.20-2.26
O: 0.9115 0.3704 0.5804  2 Pb 2.20-2.26
O: 0.9196 0.1296 0.5885  2 Pb 2.20-2.26
O: 0.9196 0.2900 0.3311  2 Pb 2.20-2.26
O: 0.9589 0.6689 0.0885  2 Pb 2.20-2.26
O: 0.9589 0.7900 0.8704  2 Pb 2.20-2.26

The records above give, respectively, E values of -7.79, -8.28, -9.34, -9.97, -9.97, -7.47, -8.86, -7.00 eV/atom.